# 1
InW2: optimized geometry, PBE. Values from VASP.

Calculated values
The value obtained for the formation enthalpy at 0 K is 0.484 eV per atom. The calculation puts the total magnetization at 0.00 μB per atom. The value obtained for the density of states at the Fermi level is 1.39 states/eV/cell. For the total energy, the calculation gives -27.19 eV for the cell shown. As for the space-group type: P-3m1. For the offset from the most stable computed form, the calculation gives 43.6 meV/atom. The volume is 52.49 Å³/cell.

Quantum ESPRESSO input file:
```
&SYSTEM
  ibrav = 0, nat = 3, ntyp = 2
/
ATOMIC_SPECIES
W 183.84 W.upf
In 114.82 In.upf
CELL_PARAMETERS angstrom
4.630 0.000 0.000
-2.315 4.009 0.000
0.000 0.000 2.828
ATOMIC_POSITIONS crystal
W 0.333 0.667 0.622
In 0.000 0.000 0.000
W 0.667 0.333 0.378
```



# 2
InW2: optimized geometry, PBE. Values from VASP.

Calculated values
The value obtained for the formation enthalpy at 0 K is 0.572 eV per atom. The calculation puts the total magnetization at 0.00 μB per atom. The value obtained for the density of states at the Fermi level is 1.70 states/eV/cell. For the total energy, the calculation gives -26.93 eV for the cell shown. As for the space-group type: Immm. For the offset from the most stable computed form, the calculation gives 131.3 meV/atom. The volume is 52.40 Å³/cell.

Quantum ESPRESSO input file:
```
&SYSTEM
  ibrav = 0, nat = 3, ntyp = 2
/
ATOMIC_SPECIES
In 114.82 In.upf
W 183.84 W.upf
CELL_PARAMETERS angstrom
5.029 0.000 0.004
2.368 4.436 -0.004
-3.144 -3.142 2.351
ATOMIC_POSITIONS crystal
In 0.000 0.000 0.000
W 0.668 0.668 0.000
W 0.332 0.332 0.000
```



# 3
InW2: optimized geometry, PBE. Values from VASP.

Calculated values
The value obtained for the formation enthalpy at 0 K is 0.693 eV per atom. The calculation puts the total magnetization at 0.00 μB per atom. The value obtained for the density of states at the Fermi level is 4.24 states/eV/cell. For the total energy, the calculation gives -26.57 eV for the cell shown. As for the space-group type: I4/mmm. For the offset from the most stable computed form, the calculation gives 252.7 meV/atom. The volume is 53.44 Å³/cell.

Quantum ESPRESSO input file:
```
&SYSTEM
  ibrav = 0, nat = 3, ntyp = 2
/
ATOMIC_SPECIES
W 183.84 W.upf
In 114.82 In.upf
CELL_PARAMETERS angstrom
-1.855 5.383 -3.769
-5.146 3.079 -3.265
3.043 -3.208 5.203
ATOMIC_POSITIONS crystal
W 0.326 0.326 0.000
W 0.674 0.674 0.000
In 0.000 0.000 0.000
```



# 4
In3W2: optimized geometry, PBE. Values from VASP.

Calculated values
The value obtained for the formation enthalpy at 0 K is 0.473 eV per atom. The calculation puts the total magnetization at 0.00 μB per atom. The value obtained for the density of states at the Fermi level is 1.07 states/eV/cell. For the total energy, the calculation gives -31.76 eV for the cell shown. As for the space-group type: P-3m1. The volume is 108.99 Å³/cell.

Quantum ESPRESSO input file:
```
&SYSTEM
  ibrav = 0, nat = 5, ntyp = 2
/
ATOMIC_SPECIES
W 183.84 W.upf
In 114.82 In.upf
CELL_PARAMETERS angstrom
-1.198 3.290 -3.142
-2.765 -3.751 0.649
-2.862 2.808 4.032
ATOMIC_POSITIONS crystal
W 0.333 0.667 0.916
In 0.000 0.000 0.000
W 0.667 0.333 0.084
In 0.667 0.333 0.599
In 0.333 0.667 0.401
```



# 5
In5W3: optimized geometry, PBE. Values from VASP.

Calculated values
The value obtained for the formation enthalpy at 0 K is 0.661 eV per atom. The calculation puts the total magnetization at 0.00 μB per atom. The value obtained for the density of states at the Fermi level is 4.52 states/eV/cell. For the total energy, the calculation gives -47.27 eV for the cell shown. As for the space-group type: Cmmm. The volume is 164.74 Å³/cell.

Quantum ESPRESSO input file:
```
&SYSTEM
  ibrav = 0, nat = 8, ntyp = 2
/
ATOMIC_SPECIES
W 183.84 W.upf
In 114.82 In.upf
CELL_PARAMETERS angstrom
-3.298 4.703 1.595
0.212 1.082 -5.859
-3.895 -2.525 -0.607
ATOMIC_POSITIONS crystal
W 0.500 0.500 0.000
In 0.213 0.787 0.500
In 0.500 0.000 0.000
In 0.000 0.000 0.000
In 0.787 0.213 0.500
W 0.327 0.327 0.500
W 0.673 0.673 0.500
In 0.000 0.500 0.000
```



# 6
InW2: optimized geometry, PBE. Values from VASP.

Calculated values
The value obtained for the formation enthalpy at 0 K is 0.440 eV per atom. The calculation puts the total magnetization at 0.00 μB per atom. The value obtained for the density of states at the Fermi level is 2.14 states/eV/cell. For the total energy, the calculation gives -27.32 eV for the cell shown. As for the space-group type: I4/mmm. For the offset from the most stable computed form, the calculation gives 0.0 meV/atom. The volume is 53.46 Å³/cell.

Quantum ESPRESSO input file:
```
&SYSTEM
  ibrav = 0, nat = 3, ntyp = 2
/
ATOMIC_SPECIES
W 183.84 W.upf
In 114.82 In.upf
CELL_PARAMETERS angstrom
-0.220 -5.299 -0.524
2.230 -3.653 3.174
-2.967 4.426 -0.003
ATOMIC_POSITIONS crystal
W 0.683 0.684 0.000
W 0.317 0.316 0.000
In 0.000 0.000 0.000
```



# 7
InW2: optimized geometry, PBE. Values from VASP.

Calculated values
The value obtained for the formation enthalpy at 0 K is 0.533 eV per atom. The calculation puts the total magnetization at 0.00 μB per atom. The value obtained for the density of states at the Fermi level is 4.73 states/eV/cell. For the total energy, the calculation gives -54.09 eV for the cell shown. As for the space-group type: C2/m. For the offset from the most stable computed form, the calculation gives 92.6 meV/atom. The volume is 105.42 Å³/cell.

Quantum ESPRESSO input file:
```
&SYSTEM
  ibrav = 0, nat = 6, ntyp = 2
/
ATOMIC_SPECIES
In 114.82 In.upf
W 183.84 W.upf
CELL_PARAMETERS angstrom
1.685 4.985 0.171
-1.685 4.985 0.171
0.000 2.067 6.345
ATOMIC_POSITIONS crystal
In 0.969 0.969 0.045
W 0.639 0.639 0.222
W 0.639 0.639 0.722
W 0.985 0.985 0.563
In 0.309 0.309 0.400
W 0.293 0.293 0.882
```



# 8
InW2: optimized geometry, PBE. Values from VASP.

Calculated values
The value obtained for the formation enthalpy at 0 K is 0.931 eV per atom. The calculation puts the total magnetization at 0.00 μB per atom. The value obtained for the density of states at the Fermi level is 4.83 states/eV/cell. For the total energy, the calculation gives -51.70 eV for the cell shown. As for the space-group type: I4/mcm. For the offset from the most stable computed form, the calculation gives 491.2 meV/atom. The volume is 111.36 Å³/cell.

Quantum ESPRESSO input file:
```
&SYSTEM
  ibrav = 0, nat = 6, ntyp = 2
/
ATOMIC_SPECIES
In 114.82 In.upf
W 183.84 W.upf
CELL_PARAMETERS angstrom
-3.260 3.260 2.620
3.260 -3.260 2.620
3.260 3.260 -2.620
ATOMIC_POSITIONS crystal
In 0.750 0.750 0.000
W 0.369 0.131 0.500
In 0.250 0.250 0.000
W 0.869 0.369 0.239
W 0.631 0.869 0.500
W 0.131 0.631 0.761
```



# 9
InW2: optimized geometry, PBE. Values from VASP.

Calculated values
The value obtained for the formation enthalpy at 0 K is 0.546 eV per atom. The calculation puts the total magnetization at 0.00 μB per atom. The value obtained for the density of states at the Fermi level is 9.38 states/eV/cell. For the total energy, the calculation gives -108.02 eV for the cell shown. As for the space-group type: Pnma. For the offset from the most stable computed form, the calculation gives 106.0 meV/atom. The volume is 216.81 Å³/cell.

Quantum ESPRESSO input file:
```
&SYSTEM
  ibrav = 0, nat = 12, ntyp = 2
/
ATOMIC_SPECIES
W 183.84 W.upf
In 114.82 In.upf
CELL_PARAMETERS angstrom
-2.736 2.814 -1.915
-2.421 -4.375 -2.970
-5.626 -1.172 6.314
ATOMIC_POSITIONS crystal
W 0.250 0.633 0.090
In 0.750 0.862 0.922
In 0.250 0.638 0.422
W 0.250 0.562 0.787
In 0.250 0.138 0.078
W 0.750 0.367 0.910
W 0.750 0.938 0.287
W 0.750 0.867 0.590
W 0.250 0.062 0.713
W 0.750 0.438 0.213
In 0.750 0.362 0.578
W 0.250 0.133 0.410
```



# 10
InW2: optimized geometry, PBE. Values from VASP.

Calculated values
The value obtained for the formation enthalpy at 0 K is 0.561 eV per atom. The calculation puts the total magnetization at 0.00 μB per atom. The value obtained for the density of states at the Fermi level is 4.38 states/eV/cell. For the total energy, the calculation gives -53.92 eV for the cell shown. As for the space-group type: Cmcm. For the offset from the most stable computed form, the calculation gives 120.6 meV/atom. The volume is 104.75 Å³/cell.

Quantum ESPRESSO input file:
```
&SYSTEM
  ibrav = 0, nat = 6, ntyp = 2
/
ATOMIC_SPECIES
In 114.82 In.upf
W 183.84 W.upf
CELL_PARAMETERS angstrom
1.088 2.737 7.359
-3.683 -1.799 -6.784
-1.154 -4.275 1.761
ATOMIC_POSITIONS crystal
In 0.616 0.384 0.750
W 0.716 0.284 0.250
W 0.284 0.716 0.750
W 0.051 0.949 0.250
In 0.384 0.616 0.250
W 0.949 0.051 0.750
```



# 11
In4W: optimized geometry, PBE. Values from VASP.

Calculated values
The value obtained for the formation enthalpy at 0 K is 0.159 eV per atom. The calculation puts the total magnetization at 0.00 μB per atom. The value obtained for the density of states at the Fermi level is 0.16 states/eV/cell. For the total energy, the calculation gives -23.11 eV for the cell shown. As for the space-group type: Im-3m. For the offset from the most stable computed form, the calculation gives 0.0 meV/atom. The volume is 131.59 Å³/cell.

Quantum ESPRESSO input file:
```
&SYSTEM
  ibrav = 0, nat = 5, ntyp = 2
/
ATOMIC_SPECIES
In 114.82 In.upf
W 183.84 W.upf
CELL_PARAMETERS angstrom
3.180 -3.986 -2.191
1.939 1.365 5.018
-5.214 -1.843 0.470
ATOMIC_POSITIONS crystal
In 0.000 0.000 0.500
In 0.000 0.500 0.000
In 0.500 0.000 0.000
W 0.000 0.000 0.000
In 0.500 0.500 0.500
```



# 12
In4W3: optimized geometry, PBE. Values from VASP.

Calculated values
The value obtained for the formation enthalpy at 0 K is 0.493 eV per atom. The calculation puts the total magnetization at 0.00 μB per atom. The value obtained for the density of states at the Fermi level is 2.84 states/eV/cell. For the total energy, the calculation gives -46.36 eV for the cell shown. As for the space-group type: P6/mmm. The volume is 139.30 Å³/cell.

Quantum ESPRESSO input file:
```
&SYSTEM
  ibrav = 0, nat = 7, ntyp = 2
/
ATOMIC_SPECIES
W 183.84 W.upf
In 114.82 In.upf
CELL_PARAMETERS angstrom
-5.069 2.192 -0.206
0.944 -4.495 3.074
1.158 3.064 4.124
ATOMIC_POSITIONS crystal
W 0.000 0.500 0.000
In 0.000 0.000 0.748
W 0.500 0.000 0.000
In 0.000 0.000 0.252
W 0.500 0.500 0.000
In 0.333 0.667 0.500
In 0.667 0.333 0.500
```



# 13
In4W: optimized geometry, PBE. Values from VASP.

Calculated values
The value obtained for the formation enthalpy at 0 K is 0.613 eV per atom. The calculation puts the total magnetization at 0.00 μB per atom. The value obtained for the density of states at the Fermi level is 3.57 states/eV/cell. For the total energy, the calculation gives -20.84 eV for the cell shown. As for the space-group type: Pm-3m. For the offset from the most stable computed form, the calculation gives 454.7 meV/atom. The volume is 152.49 Å³/cell.

Quantum ESPRESSO input file:
```
&SYSTEM
  ibrav = 0, nat = 5, ntyp = 2
/
ATOMIC_SPECIES
In 114.82 In.upf
W 183.84 W.upf
CELL_PARAMETERS angstrom
-0.985 3.979 -3.427
-1.680 -3.542 -3.630
-4.975 0.408 1.904
ATOMIC_POSITIONS crystal
In 0.500 0.500 0.000
In 0.000 0.000 0.000
In 0.500 0.000 0.500
W 0.500 0.500 0.500
In 0.000 0.500 0.500
```



# 14
InW2: optimized geometry, PBE. Values from VASP.

Calculated values
The value obtained for the formation enthalpy at 0 K is 0.824 eV per atom. The calculation puts the total magnetization at 0.00 μB per atom. The value obtained for the density of states at the Fermi level is 4.96 states/eV/cell. For the total energy, the calculation gives -52.35 eV for the cell shown. As for the space-group type: P6_3/mmc. For the offset from the most stable computed form, the calculation gives 383.7 meV/atom. The volume is 105.13 Å³/cell.

Quantum ESPRESSO input file:
```
&SYSTEM
  ibrav = 0, nat = 6, ntyp = 2
/
ATOMIC_SPECIES
W 183.84 W.upf
In 114.82 In.upf
CELL_PARAMETERS angstrom
-2.205 3.112 -2.736
-1.633 -0.912 4.306
3.148 4.030 2.047
ATOMIC_POSITIONS crystal
W 0.667 0.333 0.750
W 0.000 0.000 0.000
In 0.667 0.333 0.250
W 0.333 0.667 0.250
In 0.333 0.667 0.750
W 0.000 0.000 0.500
```